Here is a relaxed structure of YTi3Hg from Alexandria. Energies are from GGA-PBEsol.

Structure (extended XYZ):
```
5
Lattice="-2.043 -3.344 2.626 4.238 -1.373 1.550 -0.335 3.031 3.599" Properties=species:S:1:pos:R:3 pbc="T T T"
Hg 0.930 -0.843 3.887
Ti -1.022 -1.672 1.313
Y 0.000 0.000 0.000
Ti -0.167 1.515 1.799
Ti 2.119 -0.686 0.775
```

Computed properties:
* crystal system: cubic
* magnetic moment: 0.259 μB/atom
* E_tot: -5.0955 eV per atom
* E_form: 1.376 eV/atom


Here is a relaxed structure of Pb3Se from Alexandria. Energies are from GGA-PBEsol.

Structure (extended XYZ):
```
4
Lattice="4.575 0.000 0.000 0.000 4.575 0.000 -2.288 -2.288 5.265" Properties=species:S:1:pos:R:3 pbc="T T T"
Pb 0.000 2.288 2.633
Pb 2.288 2.288 0.000
Se 0.000 0.000 0.000
Pb 2.288 0.000 2.633
```

Computed properties:
* crystal system: tetragonal
* ΔE_f (raw): -0.044 eV per atom
* magnetic moment: 0.000 μB/atom
* E_tot: -4.0054 eV per atom


Here is a relaxed structure of In2FeP from Alexandria. Energies are from GGA-PBEsol.

Structure (extended XYZ):
```
4
Lattice="-0.980 1.699 -2.182 -2.549 0.343 1.412 2.956 6.524 3.752" Properties=species:S:1:pos:R:3 pbc="T T T"
P 1.707 3.767 2.167
In 2.779 6.133 3.527
In -0.917 2.892 0.691
Fe 0.292 5.559 2.225
```

Computed properties:
* crystal system: tetragonal
* magnetic moment: 0.178 μB/atom
* E_tot: -5.2244 eV per atom
* E_form: -0.044 eV/atom


Here is a relaxed structure of ScTlNi2 from Alexandria. Energies are from GGA-PBEsol.

Structure (extended XYZ):
```
4
Lattice="-3.122 -2.715 0.300 -0.256 -2.512 3.292 -3.558 1.287 3.320" Properties=species:S:1:pos:R:3 pbc="T T T"
Sc -3.611 -1.791 3.581
Tl -1.588 -1.167 1.600
Ni -3.171 0.806 2.983
Ni -5.590 -2.470 5.523
```

Computed properties:
* crystal system: trigonal
* magnetic moment: 0.000 μB/atom
* E_tot: -5.5321 eV per atom
* E_form: -0.144 eV/atom


Here is a relaxed structure of Pr3AgGeS7 from Alexandria. Energies are from GGA-PBEsol.

Structure (extended XYZ):
```
24
Lattice="5.775 0.000 0.000 0.000 10.236 0.000 0.000 -5.118 8.865" Properties=species:S:1:pos:R:3 pbc="T T T"
Ge 4.762 0.000 5.910
S 4.211 2.850 8.031
S 4.211 -3.262 7.318
S 5.663 -1.577 4.607
S 1.323 8.380 1.547
S 2.775 5.458 0.938
Pr 1.400 0.550 3.182
Ge 1.874 5.118 2.955
Pr 1.400 -2.638 6.798
S 4.211 0.412 2.381
S 5.462 5.118 2.955
S 2.775 3.202 3.669
S 2.574 0.000 5.910
S 2.775 6.695 4.258
S 1.323 4.706 6.484
Ag 4.058 0.000 0.000
Pr 4.287 4.568 5.683
S 5.663 -0.340 7.927
Ag 1.170 0.000 0.000
S 1.323 2.268 0.834
Pr 4.287 7.756 2.067
Pr 4.287 3.031 1.115
S 5.663 1.916 5.196
Pr 1.400 2.088 7.750
```

Computed properties:
* crystal system: hexagonal
* ΔE_f (raw): -1.477 eV per atom
* magnetic moment: 0.000 μB/atom
* E_tot: -6.0180 eV per atom


Here is a relaxed structure of Hg3TeMo from Alexandria. Energies are from GGA-PBEsol.

Structure (extended XYZ):
```
5
Lattice="5.268 0.000 0.000 0.000 5.268 0.000 0.000 0.000 5.268" Properties=species:S:1:pos:R:3 pbc="T T T"
Te 2.634 2.634 2.634
Mo 0.000 0.000 0.000
Hg 0.000 2.634 0.000
Hg 2.634 0.000 0.000
Hg 0.000 0.000 2.634
```

Computed properties:
* crystal system: cubic
* ΔE_f (raw): 1.007 eV per atom
* magnetic moment: 0.536 μB/atom
* E_tot: -2.3915 eV per atom


Here is a relaxed structure of BaLi2Pt from Alexandria. Energies are from GGA-PBEsol.

Structure (extended XYZ):
```
4
Lattice="-2.588 2.457 -1.717 1.770 -3.419 -2.993 -3.960 -2.413 2.517" Properties=species:S:1:pos:R:3 pbc="T T T"
Li -1.278 -2.262 -1.311
Pt -1.980 -1.206 1.258
Li -3.501 -1.112 -0.882
Ba -1.294 1.228 -0.858
```

Computed properties:
* ΔE to the lowest computed polymorph: 0.23 eV per formula unit
* crystal system: monoclinic
* magnetic moment: 0.000 μB/atom
* E_tot: -3.5815 eV per atom
* E_form: -0.320 eV/atom


Here is a relaxed structure of ZrTa2Cl from Alexandria. Energies are from GGA-PBEsol.

Structure (extended XYZ):
```
4
Lattice="-0.161 0.804 -2.959 -4.564 -2.630 -0.466 0.102 4.635 2.846" Properties=species:S:1:pos:R:3 pbc="T T T"
Ta -4.502 2.609 -0.639
Zr -2.483 -0.715 -1.652
Ta -1.168 2.193 -0.934
Cl -3.455 0.617 0.355
```

Computed properties:
* ΔE to the lowest computed polymorph: 1.72 eV per formula unit
* crystal system: orthorhombic
* ΔE_f (raw): 0.301 eV per atom
* magnetic moment: 0.000 μB/atom
* E_tot: -8.7488 eV per atom


Here is a relaxed structure of InCo2Os from Alexandria. Energies are from GGA-PBEsol.

Structure (extended XYZ):
```
4
Lattice="-1.146 1.436 -2.052 0.032 -0.999 -2.566 -7.701 -3.697 -0.134" Properties=species:S:1:pos:R:3 pbc="T T T"
Co -7.635 -3.663 -0.147
Os -2.010 -0.713 -1.225
In -4.496 -1.676 -2.359
Co -6.783 -2.535 -3.531
```

Computed properties:
* crystal system: trigonal
* magnetic moment: 0.724 μB/atom
* E_tot: -7.2050 eV per atom
* E_form: 0.463 eV/atom


Here is a relaxed structure of ZnTe2Rh from Alexandria. Energies are from GGA-PBEsol.

Structure (extended XYZ):
```
4
Lattice="3.196 0.000 0.000 0.000 3.318 0.000 0.000 0.000 7.585" Properties=species:S:1:pos:R:3 pbc="T T T"
Rh 1.598 1.659 0.000
Zn 1.598 1.659 3.792
Te 0.000 0.000 5.916
Te 0.000 0.000 1.669
```

Computed properties:
* crystal system: orthorhombic
* ΔE_f (raw): 0.106 eV per atom
* magnetic moment: 0.000 μB/atom
* E_tot: -4.0871 eV per atom


Here is a relaxed structure of Pt2PbCl from Alexandria. Energies are from GGA-PBEsol.

Structure (extended XYZ):
```
4
Lattice="4.717 0.000 0.000 2.359 4.085 0.000 2.359 1.362 3.851" Properties=species:S:1:pos:R:3 pbc="T T T"
Pt 2.359 1.362 0.963
Pt 0.000 0.000 0.000
Pb 7.076 4.085 2.889
Cl 4.717 2.723 1.926
```

Computed properties:
* ΔE to the lowest computed polymorph: 1.00 eV per formula unit
* crystal system: cubic
* ΔE_f (raw): 0.341 eV per atom
* magnetic moment: 0.000 μB/atom
* E_tot: -4.6428 eV per atom


Here is a relaxed structure of Na2ZnGaGe from Alexandria. Energies are from GGA-PBEsol.

Structure (extended XYZ):
```
5
Lattice="-0.116 -1.268 4.360 -5.110 -1.519 -0.578 1.620 -4.920 -1.388" Properties=species:S:1:pos:R:3 pbc="T T T"
Na -2.555 -0.760 -0.289
Zn 0.000 0.000 0.000
Ga -1.803 -3.854 1.197
Ge -0.058 -0.634 2.180
Na 0.810 -2.460 -0.694
```

Computed properties:
* crystal system: tetragonal
* magnetic moment: 0.000 μB/atom
* E_tot: -2.2076 eV per atom
* E_form: 0.324 eV/atom